An optimized crystal structure of Sm2HoNpS4, computed with PBE-GGA.

## Properties
Total energy, Ha/atom: -0.2677
ΔE_f (raw), kJ/mol of atoms: -178.7
Crystal system: monoclinic

Lattice parameters (Å, degrees): 6.8417 3.9437 6.8664 90.00 109.29 90.00
Space group P2/m (No. 10)
Unique sites:
Sm 0.0000 0.0000 0.0000 x1
Sm 0.5000 0.5000 0.0000 x1
Ho 0.0000 0.5000 0.5000 x1
Np 0.5000 0.0000 0.5000 x1
S 0.2448 0.0000 0.7402 x2
S 0.2523 0.5000 0.2594 x2